# Pm6YEr2

An optimized crystal structure of Pm6YEr2 (PBE-GGA, Alexandria via LeMat-Bulk).

Values from the calculation:
Space-group type ... P-1, No. 2
V ... 33.3 A^3/atom
Energy relative to the elements ... 0.018 eV/atom
Energy relative to the lowest polymorph listed for this composition ... 0.0000 eV/atom

Structure (extended XYZ):
```
9
Lattice="3.490 -0.359 0.861 -2.815 5.655 -8.782 3.293 -0.184 16.588" Properties=species:S:1:pos:R:3 pbc="T T T"
Pm 2.275 2.763 -0.447
Pm 1.693 2.349 9.113
Pm 2.649 3.439 5.774
Pm 3.869 0.259 7.045
Pm 0.098 4.853 1.621
Pm 1.319 1.672 2.892
Y 0.000 0.000 0.000
Er -0.278 4.187 -4.601
Er 4.246 0.925 13.267
```